1.
This record from Alexandria via LeMat-Bulk describes an optimized crystal structure of PmHg2Au. The functional is GGA-PBE.

Offset from the most stable computed form in meV per atom: 38
Formation energy in eV/atom: -0.436

```
PmHg2Au
1.0
0.0000 3.5837 3.5837
3.5837 0.0000 3.5837
3.5837 3.5837 0.0000
Pm Hg Au
1 2 1
direct
0.0000 0.0000 0.0000
0.2500 0.2500 0.2500
0.7500 0.7500 0.7500
0.5000 0.5000 0.5000
```

2.
This record from Alexandria via LeMat-Bulk describes an optimized crystal structure of NaSr3Ir. The functional is GGA-PBE.

Offset from the most stable computed form in meV per atom: 24
Formation energy in eV/atom: -0.098

```
NaSr3Ir
1.0
10.4827 0.0000 0.0000
0.0000 6.7607 0.0000
-1.1546 0.0000 11.0456
Na Sr Ir
4 12 4
direct
0.0525 0.0015 0.1938
0.0525 0.4985 0.6938
0.9475 0.5015 0.3062
0.9475 0.9985 0.8062
0.2351 0.9997 0.5494
0.2351 0.5003 0.0494
0.2978 0.0002 0.9166
0.2978 0.4998 0.4166
0.4140 0.9999 0.2433
0.4140 0.5001 0.7433
0.5860 0.0001 0.7567
0.5860 0.4999 0.2567
0.7022 0.9998 0.0834
0.7022 0.5002 0.5834
0.7649 0.0003 0.4506
0.7649 0.4997 0.9506
0.5001 0.1903 0.5000
0.5001 0.3097 0.0000
0.4999 0.6903 0.0000
0.4999 0.8097 0.5000
```

3.
This record from Alexandria via LeMat-Bulk describes an optimized crystal structure of YAlCo2C. The functional is GGA-PBE.

Offset from the most stable computed form in meV per atom: 0
Formation energy in eV/atom: -0.391

```
YAlCo2C
1.0
1.9061 -5.3240 0.0000
1.9061 5.3240 0.0000
0.0000 0.0000 6.8461
Y Al Co C
2 2 4 2
direct
0.0524 0.9476 0.7500
0.9476 0.0524 0.2500
0.2271 0.7729 0.2500
0.7729 0.2271 0.7500
0.3397 0.6603 0.5590
0.3397 0.6603 0.9410
0.6603 0.3397 0.0590
0.6603 0.3397 0.4410
0.5000 0.5000 0.0000
0.5000 0.5000 0.5000
```

4.
This record from Alexandria via LeMat-Bulk describes an optimized crystal structure of MnZn3Se. The functional is GGA-PBE.

Offset from the most stable computed form in meV per atom: 0
Formation energy from raw total energies in eV per atom: 0.6166

```
MnZn3Se
1.0
4.8071 0.0000 0.0000
0.0000 4.8071 0.0000
0.0000 0.0000 4.8071
Mn Zn Se
1 3 1
direct
0.0000 0.0000 0.0000
0.0000 0.0000 0.5000
0.0000 0.5000 0.0000
0.5000 0.0000 0.0000
0.5000 0.5000 0.5000
```

5.
This record from Alexandria via LeMat-Bulk describes an optimized crystal structure of CaBi2OsO8. The functional is GGA-PBE.

Formation energy from raw total energies in eV per atom: -1.3770

```
CaBi2OsO8
1.0
5.1992 0.0000 0.0000
0.0000 6.8158 0.0000
-0.1247 0.0000 5.1979
Ca Bi Os O
1 2 1 8
direct
0.0000 0.0000 0.0000
0.5000 0.2475 0.5000
0.5000 0.7525 0.5000
0.0000 0.5000 0.0000
0.1732 0.2957 0.1863
0.1732 0.7043 0.1863
0.2578 0.5000 0.7611
0.3175 0.0000 0.6908
0.6825 0.0000 0.3092
0.7422 0.5000 0.2389
0.8268 0.2957 0.8137
0.8268 0.7043 0.8137
```

6.
This record from Alexandria via LeMat-Bulk describes an optimized crystal structure of PPbI2N. The functional is GGA-PBE.

Offset from the most stable computed form in meV per atom: 0
Formation energy from raw total energies in eV per atom: 0.3766

```
PPbI2N
1.0
6.0847 0.0000 0.0000
0.0000 6.0847 0.0000
0.0000 0.0000 3.5417
P Pb I N
1 1 2 1
direct
0.0000 0.0000 0.0000
0.5000 0.5000 0.5000
0.0000 0.5000 0.0000
0.5000 0.0000 0.0000
0.0000 0.0000 0.5000
```